# 1
4
Lattice="-4.249 0.141 2.958 -4.479 1.684 -1.981 -3.867 -3.335 -0.862" Properties=species:S:1:pos:R:3 comment="Y2ZnBr | Alexandria | PBE-GGA | optimized geometry" volume_a3_per_atom=24.6 dos_ef_per_ev_atom=1.3141 relative_energy_mev_per_atom=244 magnetic_moment_mub_per_fu=0.00 formation_energy_uncorrected_ev_per_fu=-1.70 pbc="T T T"
Y -3.149 -0.377 0.029
Y -9.447 -1.132 0.087
Zn 0.000 0.000 0.000
Br -6.298 -0.755 0.058


# 2
4
Lattice="7.616 0.080 -0.003 5.115 5.644 0.003 -5.935 -3.821 2.863" Properties=species:S:1:pos:R:3 comment="YZnBr2 | Alexandria | PBE-GGA | optimized geometry" volume_a3_per_atom=30.5 dos_ef_per_ev_atom=0.5138 relative_energy_mev_per_atom=88 magnetic_moment_mub_per_fu=0.00 formation_energy_uncorrected_ev_per_fu=-3.50 pbc="T T T"
Br 12.517 5.627 0.000
Br 3.093 -0.858 1.430
Y 6.527 2.934 0.000
Zn 3.757 2.785 1.433


# 3
3
Lattice="-2.791 4.583 -4.321 -4.770 4.796 -1.304 1.576 3.150 0.812" Properties=species:S:1:pos:R:3 comment="YZnBr | Alexandria | PBE-GGA | optimized geometry" volume_a3_per_atom=27.9 dos_ef_per_ev_atom=0.8774 magnetic_moment_mub_per_fu=0.00 formation_energy_uncorrected_ev_per_fu=-1.76 pbc="T T T"
Br -7.242 9.161 -5.400
Y -1.456 5.217 -1.324
Zn -4.848 7.529 -3.714


# 4
5
Lattice="5.558 0.000 0.000 0.000 5.558 0.000 0.000 0.000 5.558" Properties=species:S:1:pos:R:3 comment="YZrBr3 | Alexandria | PBE-GGA | optimized geometry" volume_a3_per_atom=34.3 dos_ef_per_ev_atom=1.2547 relative_energy_mev_per_atom=25 magnetic_moment_mub_per_fu=3.84 formation_energy_uncorrected_ev_per_fu=-1.71 pbc="T T T"
Y 0.000 0.000 0.000
Br 0.000 2.779 0.000
Br 0.000 0.000 2.779
Br 2.779 0.000 0.000
Zr 2.779 2.779 2.779


# 5
6
Lattice="-3.288 -0.380 5.543 -6.341 -1.210 -0.085 -2.225 -5.704 2.049" Properties=species:S:1:pos:R:3 comment="Y4ZrBr | Alexandria | PBE-GGA | optimized geometry" volume_a3_per_atom=31.7 dos_ef_per_ev_atom=1.4416 magnetic_moment_mub_per_fu=1.23 formation_energy_uncorrected_ev_per_fu=2.80 pbc="T T T"
Y -6.086 -2.941 5.546
Y -5.566 -5.544 3.838
Y -7.579 -3.347 2.795
Y -4.478 -2.755 2.836
Zr -8.891 -5.470 5.631
Br 0.000 0.000 0.000


# 6
6
Lattice="-2.000 -5.085 3.000 -4.215 -3.737 -2.669 1.677 -5.661 -2.000" Properties=species:S:1:pos:R:3 comment="YZrBr4 | Alexandria | PBE-GGA | optimized geometry" volume_a3_per_atom=28.5 dos_ef_per_ev_atom=1.3672 magnetic_moment_mub_per_fu=4.27 formation_energy_uncorrected_ev_per_fu=1.64 pbc="T T T"
Y -3.404 -10.862 -1.252
Zr 0.000 0.000 0.000
Br -2.703 -7.975 0.877
Br -0.862 -8.263 -1.627
Br -3.812 -7.300 -1.962
Br -1.701 -5.428 -0.626


# 7
5
Lattice="5.333 0.000 0.000 0.000 5.333 0.000 0.000 0.000 5.333" Properties=species:S:1:pos:R:3 comment="YZrBr3 | Alexandria | PBE-GGA | optimized geometry" volume_a3_per_atom=30.3 dos_ef_per_ev_atom=1.2787 relative_energy_mev_per_atom=0 magnetic_moment_mub_per_fu=2.01 formation_energy_uncorrected_ev_per_fu=-1.84 pbc="T T T"
Y 2.667 2.667 2.667
Br 0.000 2.667 0.000
Br 0.000 0.000 2.667
Br 2.667 0.000 0.000
Zr 0.000 0.000 0.000


# 8
6
Lattice="-0.125 3.848 2.015 -6.664 -0.533 0.605 0.802 -3.150 6.064" Properties=species:S:1:pos:R:3 comment="YbBr2 | Alexandria | PBE-GGA | optimized geometry" volume_a3_per_atom=33.5 dos_ef_per_ev_atom=0.0000 magnetic_moment_mub_per_fu=0.00 formation_energy_uncorrected_ev_per_fu=-6.24 pbc="T T T"
Yb 0.000 0.000 0.000
Yb -2.993 0.083 4.342
Br -0.857 -0.781 6.124
Br -4.242 -2.518 4.547
Br -1.619 -1.164 2.122
Br -5.129 0.947 2.561


# 9
12
Lattice="4.254 0.000 0.000 0.000 7.368 -0.034 0.000 -2.340 13.657" Properties=species:S:1:pos:R:3 comment="YbBr2 | Alexandria | PBE-GGA | optimized geometry" volume_a3_per_atom=35.6 dos_ef_per_ev_atom=0.0000 magnetic_moment_mub_per_fu=0.00 formation_energy_uncorrected_ev_per_fu=-6.31 pbc="T T T"
Yb 1.064 5.526 -0.026
Yb 1.064 0.672 6.820
Yb 3.191 -0.498 13.649
Yb 3.191 4.356 6.803
Br 1.064 3.136 8.357
Br 3.191 1.893 5.266
Br 3.191 1.951 12.090
Br 3.191 6.761 1.516
Br 1.064 3.077 1.533
Br 3.191 -0.548 8.374
Br 1.064 -1.733 12.107
Br 1.064 5.577 5.249


# 10
24
Lattice="7.142 0.000 0.000 0.000 7.373 0.000 0.000 0.000 13.921" Properties=species:S:1:pos:R:3 comment="YbBr2 | Alexandria | PBE-GGA | optimized geometry" volume_a3_per_atom=30.5 magnetic_moment_mub_per_fu=0.24 formation_energy_uncorrected_ev_per_fu=-5.71 pbc="T T T"
Yb 5.525 4.050 8.514
Yb 1.617 7.010 1.554
Yb 5.187 0.363 5.407
Yb 1.954 3.323 12.367
Yb 1.617 3.323 5.407
Yb 5.525 0.363 12.367
Yb 1.954 7.010 8.514
Yb 5.187 4.050 1.554
Br 4.628 6.528 9.842
Br 2.514 4.532 2.882
Br 6.085 2.841 4.078
Br 1.057 0.845 11.038
Br 2.514 0.845 4.078
Br 4.628 2.841 11.038
Br 1.057 4.532 9.842
Br 6.085 6.528 2.882
Br 3.603 5.419 6.541
Br 3.539 5.641 13.502
Br 7.110 1.732 7.379
Br 0.032 1.954 0.419
Br 3.539 1.954 7.379
Br 3.603 1.732 0.419
Br 0.032 5.641 6.541
Br 7.110 5.419 13.502


# 11
12
Lattice="6.684 0.000 0.000 0.000 7.360 0.000 0.000 0.000 8.237" Properties=species:S:1:pos:R:3 comment="YbBr2 | Alexandria | PBE-GGA | optimized geometry" volume_a3_per_atom=33.8 magnetic_moment_mub_per_fu=0.24 formation_energy_uncorrected_ev_per_fu=-5.78 pbc="T T T"
Yb 0.000 1.840 5.312
Yb 3.342 5.520 7.043
Yb 0.000 5.520 2.925
Yb 3.342 1.840 1.194
Br 1.725 0.579 7.321
Br 1.617 4.259 5.035
Br 5.067 6.781 5.035
Br 4.959 3.101 7.321
Br 4.959 6.781 0.916
Br 5.067 3.101 3.202
Br 1.617 0.579 3.202
Br 1.725 4.259 0.916


# 12
8
Lattice="-6.406 -3.518 -1.794 -0.626 -2.472 7.080 -5.942 0.848 3.770" Properties=species:S:1:pos:R:3 comment="ZnBr3 | Alexandria | PBE-GGA | optimized geometry" volume_a3_per_atom=33.2 dos_ef_per_ev_atom=1.4051 magnetic_moment_mub_per_fu=1.00 formation_energy_uncorrected_ev_per_fu=-1.21 pbc="T T T"
Zn -3.516 -2.995 2.643
Zn -5.042 -2.309 6.747
Br -4.888 -1.922 0.896
Br -3.357 -2.146 4.953
Br -7.160 -1.872 5.561
Br -10.543 -4.342 6.701
Br 0.000 0.000 0.000
Br -7.932 -2.832 2.309


What did the sixth record say?
6
Lattice="-2.000 -5.085 3.000 -4.215 -3.737 -2.669 1.677 -5.661 -2.000" Properties=species:S:1:pos:R:3 comment="YZrBr4 | Alexandria | PBE-GGA | optimized geometry" volume_a3_per_atom=28.5 dos_ef_per_ev_atom=1.3672 magnetic_moment_mub_per_fu=4.27 formation_energy_uncorrected_ev_per_fu=1.64 pbc="T T T"
Y -3.404 -10.862 -1.252
Zr 0.000 0.000 0.000
Br -2.703 -7.975 0.877
Br -0.862 -8.263 -1.627
Br -3.812 -7.300 -1.962
Br -1.701 -5.428 -0.626